Density functional theory data (PBE-GGA) for a relaxed structure of AcTb8Dy3.

- crystal system = triclinic
- magnetization (μB per formula unit) = 0.00
- D(E_F) (states/eV/cell) = 21.50
- DFT formation energy (eV/atom) = 0.028

a b c (Å): 6.324 8.528 8.541
angles (deg): 84.37 68.27 68.32
Element x y z (fractional)
Ac  0.000  0.000  0.000
Tb  0.325  0.170  0.171
Tb  0.333  0.087  0.578
Tb  0.333  0.579  0.087
Tb  0.334  0.663  0.663
Tb  0.661  0.336  0.337
Tb  0.666  0.829  0.830
Tb  0.996  0.423  0.915
Tb  0.997  0.914  0.423
Dy  0.660  0.253  0.748
Dy  0.661  0.748  0.253
Dy  0.996  0.500  0.500

Density functional theory data (PBE-GGA) for a relaxed structure of NdHo6Se8.

- E_form (uncorrected) (eV/f.u.) = -27.15
- crystal system = cubic
- magnetization (μB per formula unit) = 0.00
- D(E_F) (states/eV/cell) = 5.84
- energy above the most stable polymorph in this dataset (eV/atom) = 0.000

a b c (Å): 8.104 8.104 8.104
angles (deg): 60.00 60.00 60.00
Element x y z (fractional)
Nd  0.000  0.000  0.000
Ho  0.000  0.000  0.500
Ho  0.000  0.500  0.000
Ho  0.000  0.500  0.500
Ho  0.500  0.000  0.000
Ho  0.500  0.000  0.500
Ho  0.500  0.500  0.000
Se  0.250  0.250  0.250
Se  0.261  0.261  0.739
Se  0.261  0.739  0.261
Se  0.261  0.739  0.739
Se  0.739  0.261  0.261
Se  0.739  0.261  0.739
Se  0.739  0.739  0.261
Se  0.750  0.750  0.750

Density functional theory data (PBE-GGA) for a relaxed structure of RbLaCdI6.

- E_form (uncorrected) (eV/f.u.) = -10.68
- crystal system = trigonal
- magnetization (μB per formula unit) = 0.00
- D(E_F) (states/eV/cell) = 0.00

a b c (Å): 8.015 8.015 16.426
angles (deg): 90.00 90.00 120.00
Element x y z (fractional)
Rb  0.000  0.000  0.000
Rb  0.000  0.000  0.500
La  0.333  0.667  0.250
La  0.667  0.333  0.750
Cd  0.333  0.667  0.750
Cd  0.667  0.333  0.250
I  0.013  0.377  0.640
I  0.013  0.637  0.860
I  0.363  0.377  0.860
I  0.363  0.987  0.640
I  0.377  0.013  0.140
I  0.377  0.363  0.360
I  0.623  0.637  0.640
I  0.623  0.987  0.860
I  0.637  0.013  0.360
I  0.637  0.623  0.140
I  0.987  0.363  0.140
I  0.987  0.623  0.360

Density functional theory data (PBE-GGA) for a relaxed structure of MnSi4Ni.

- E_form (uncorrected) (eV/f.u.) = 2.36
- crystal system = cubic
- magnetization (μB per formula unit) = 2.73
- D(E_F) (states/eV/cell) = 3.36

a b c (Å): 4.850 4.850 4.850
angles (deg): 60.00 60.00 60.00
Element x y z (fractional)
Mn  0.000  0.000  0.000
Si  0.375  0.375  0.375
Si  0.375  0.375  0.874
Si  0.375  0.874  0.375
Si  0.874  0.375  0.375
Ni  0.750  0.750  0.750

Question: Look up the D(E_F) of the first one.
Answer: 21.50 states/eV/cell

Question: Which of these has the highest magnetization?
Answer: MnSi4Ni

Question: What is the D(E_F) in the first record?
Answer: 21.50 states/eV/cell

Question: What is the magnetization in the third record?
Answer: 0.00 μB per formula unit